The following is a PBE calculation of a relaxed SrGd2Zn crystal, from Alexandria.

Geometry as POSCAR:
```
SrGd2Zn
1.0
-1.693 1.632 2.873
-0.667 -1.929 3.102
9.349 3.092 6.154
Sr Zn Gd
1 1 2
direct
0.000 0.000 0.000
0.500 0.500 0.500
0.105 0.105 0.684
0.895 0.895 0.316
```

Calculated values
symmetry: R-3m
density of states at the Fermi level: 5.721 states/eV per cell
formation enthalpy at 0 K: 131.8 meV per atom